No. 1
DFT (PBE) results for VCoMo3 after structural relaxation.

## Properties
The value obtained for the total magnetization is 1.365 μB per cell. The energy comes out at -42.48 eV for the cell shown. The calculation puts the density of states at the Fermi level at 6.94 states/eV/f.u. As for the volume: 17.480 Å³/atom.

abc: 4.4379 4.4379 4.4379
angles: 90.00 90.00 90.00
Closest atoms and distances in Å follow each position.
Element x y z (fractional)
1 V 0.5000 0.5000 0.5000  12 Mo 3.14
2 Mo 0.0000 0.0000 0.5000  2 Co 2.22
3 Co 0.0000 0.0000 0.0000  6 Mo 2.22
4 Mo 0.5000 0.0000 0.0000  2 Co 2.22
5 Mo 0.0000 0.5000 0.0000  2 Co 2.22

No. 2
DFT (PBE) results for VCo4Mo after structural relaxation.

## Properties
The value obtained for the total magnetization is 4.070 μB per cell. The energy comes out at -48.04 eV for the cell shown. The calculation puts the density of states at the Fermi level at 9.63 states/eV/f.u. As for the volume: 12.072 Å³/atom.

abc: 3.0054 3.0053 8.0195
angles: 90.00 90.00 90.00
Closest atoms and distances in Å follow each position.
Element x y z (fractional)
1 Co 0.5000 0.5000 0.8422  4 V 2.47, 5 Co 2.51-2.53, 1 Mo 2.74
2 V 0.0000 0.0000 0.0000  10 Co 2.47-2.60
3 Co 0.0000 0.0000 0.6759  4 Co 2.51, 4 Mo 2.55, 1 V 2.60
4 Mo 0.5000 0.5000 0.5000  10 Co 2.55-2.74
5 Co 0.0000 0.0000 0.3241  4 Co 2.51, 4 Mo 2.55, 1 V 2.60
6 Co 0.5000 0.5000 0.1578  4 V 2.47, 5 Co 2.51-2.53, 1 Mo 2.74

No. 3
DFT (PBE) results for VCo4Mo after structural relaxation.

## Properties
The value obtained for the total magnetization is 7.741 μB per cell. The energy comes out at -96.07 eV for the cell shown. The calculation puts the density of states at the Fermi level at 9.68 states/eV/f.u. As for the volume: 12.075 Å³/atom.

abc: 4.2679 7.9557 6.2121
angles: 129.82 110.09 90.00
Closest atoms and distances in Å follow each position.
Element x y z (fractional)
1 Co 0.7551 0.5924 0.5103  3 V 2.44-2.50, 5 Co 2.52-2.62, 2 Mo 2.53-2.68
2 Mo 0.5003 0.5003 0.0005  10 Co 2.52-2.68
3 Co 0.4949 0.1576 0.9897  3 V 2.44-2.50, 5 Co 2.52-2.62, 2 Mo 2.53-2.68
4 V 0.2520 0.7520 0.5040  10 Co 2.44-2.64
5 Mo 0.7497 0.2497 0.4995  10 Co 2.52-2.68
6 Co 0.0057 0.3369 0.0113  5 Co 2.41-2.69, 2 V 2.49-2.64, 3 Mo 2.52-2.56
7 Co 0.0056 0.6744 0.0113  5 Co 2.41-2.69, 2 V 2.49-2.64, 3 Mo 2.52-2.56
8 Co 0.7552 0.9180 0.5103  3 V 2.44-2.50, 5 Co 2.52-2.62, 2 Mo 2.53-2.68
9 Co 0.2444 0.0756 0.4887  5 Co 2.41-2.69, 2 V 2.49-2.64, 3 Mo 2.52-2.56
10 V 0.9980 0.9980 0.9960  10 Co 2.44-2.64
11 Co 0.4948 0.8320 0.9897  3 V 2.44-2.50, 5 Co 2.52-2.62, 2 Mo 2.53-2.68
12 Co 0.2443 0.4131 0.4887  5 Co 2.41-2.69, 2 V 2.49-2.64, 3 Mo 2.52-2.56

No. 4
DFT (PBE) results for V8CoMo2 after structural relaxation.

## Properties
The value obtained for the total magnetization is 0.000 μB per cell. The energy comes out at -101.65 eV for the cell shown. The calculation puts the density of states at the Fermi level at 11.24 states/eV/f.u. As for the volume: 13.738 Å³/atom.

abc: 4.6616 7.2375 7.2375
angles: 38.23 90.01 90.01
Closest atoms and distances in Å follow each position.
Element x y z (fractional)
1 Co 0.0000 0.0000 0.0000  12 V 2.47-2.65
2 V 0.0002 0.0854 0.5955  3 V 2.32-2.47, 1 Co 2.47
3 V 0.2524 0.5000 0.5000  2 V 2.31-2.35
4 V 0.9998 0.9146 0.4045  3 V 2.32-2.47, 1 Co 2.47
5 Mo 0.4999 0.7000 0.7000  9 V 2.68-2.97, 2 Mo 2.74
6 Mo 0.5001 0.3000 0.3000  9 V 2.68-2.97, 2 Mo 2.74
7 V 0.9998 0.4045 0.9146  3 V 2.32-2.47, 1 Co 2.47
8 V 0.4999 0.0919 0.0919  5 V 2.51-2.76, 2 Co 2.65, 2 Mo 2.79
9 V 0.0002 0.5955 0.0854  3 V 2.32-2.47, 1 Co 2.47
10 V 0.7476 0.5000 0.5000  2 V 2.31-2.35
11 V 0.5001 0.9081 0.9081  5 V 2.51-2.76, 2 Co 2.65, 2 Mo 2.79

No. 5
DFT (PBE) results for V2Co9Mo after structural relaxation.

## Properties
The value obtained for the total magnetization is 0.017 μB per cell. The energy comes out at -94.38 eV for the cell shown. The calculation puts the density of states at the Fermi level at 11.82 states/eV/f.u. As for the volume: 11.097 Å³/atom.

abc: 3.5415 3.5415 10.6173
angles: 90.00 90.00 90.00
Closest atoms and distances in Å follow each position.
Element x y z (fractional)
1 Mo 0.0000 0.0000 0.0000  12 Co 2.50-2.53
2 Co 0.5000 0.0000 0.8293  8 Co 2.48-2.53, 2 V 2.50, 2 Mo 2.53
3 Co 0.0000 0.5000 0.1707  8 Co 2.48-2.53, 2 V 2.50, 2 Mo 2.53
4 V 0.0000 0.0000 0.3369  12 Co 2.48-2.50
5 Co 0.0000 0.5000 0.8293  8 Co 2.48-2.53, 2 V 2.50, 2 Mo 2.53
6 Co 0.5000 0.0000 0.1707  8 Co 2.48-2.53, 2 V 2.50, 2 Mo 2.53
7 V 0.0000 0.0000 0.6631  12 Co 2.48-2.50
8 Co 0.5000 0.5000 0.3348  8 Co 2.48-2.49, 4 V 2.50
9 Co 0.5000 0.5000 0.6652  8 Co 2.48-2.49, 4 V 2.50
10 Co 0.0000 0.5000 0.5000  4 V 2.48, 8 Co 2.49-2.50
11 Co 0.5000 0.5000 0.0000  4 Mo 2.50, 8 Co 2.53
12 Co 0.5000 0.0000 0.5000  4 V 2.48, 8 Co 2.49-2.50

No. 6
DFT (PBE) results for V3CoMo after structural relaxation.

## Properties
The value obtained for the total magnetization is 0.000 μB per cell. The energy comes out at -40.97 eV for the cell shown. The calculation puts the density of states at the Fermi level at 8.97 states/eV/f.u. As for the volume: 15.524 Å³/atom.

abc: 4.2657 4.2657 4.2657
angles: 90.00 90.00 90.00
Closest atoms and distances in Å follow each position.
Element x y z (fractional)
1 V 0.0000 0.5000 0.0000  2 Co 2.13
2 V 0.5000 0.0000 0.0000  2 Co 2.13
3 Co 0.0000 0.0000 0.0000  6 V 2.13
4 Mo 0.5000 0.5000 0.5000  12 V 3.02
5 V 0.0000 0.0000 0.5000  2 Co 2.13

No. 7
DFT (PBE) results for V2Co6Mo after structural relaxation.

## Properties
The value obtained for the total magnetization is 1.644 μB per cell. The energy comes out at -70.01 eV for the cell shown. The calculation puts the density of states at the Fermi level at 13.34 states/eV/f.u. As for the volume: 12.370 Å³/atom.

abc: 5.4194 4.8703 4.8703
angles: 120.00 90.00 90.00
Closest atoms and distances in Å follow each position.
Element x y z (fractional)
1 Co 0.1702 0.1774 0.8226  4 Co 2.28-2.38, 1 Mo 2.33
2 Co 0.8298 0.8226 0.1774  4 Co 2.28-2.38, 1 Mo 2.33
3 V 0.6417 0.3333 0.6667  9 Co 2.64-2.87, 3 Mo 2.91
4 Co 0.1702 0.1774 0.3548  4 Co 2.28-2.38, 1 Mo 2.33
5 Co 0.8298 0.3548 0.1774  4 Co 2.28-2.38, 1 Mo 2.33
6 Mo 0.5000 0.0000 0.0000  6 Co 2.33
7 Co 0.1702 0.6452 0.8226  4 Co 2.28-2.38, 1 Mo 2.33
8 V 0.3583 0.6667 0.3333  9 Co 2.64-2.87, 3 Mo 2.91
9 Co 0.8298 0.8226 0.6452  4 Co 2.28-2.38, 1 Mo 2.33

No. 8
DFT (PBE) results for V2Co4Mo after structural relaxation.

## Properties
The value obtained for the total magnetization is 3.603 μB per cell. The energy comes out at -49.41 eV for the cell shown. The calculation puts the density of states at the Fermi level at 10.16 states/eV/f.u. As for the volume: 16.332 Å³/atom.

abc: 4.4384 4.4384 6.5976
angles: 70.34 70.34 90.00
Closest atoms and distances in Å follow each position.
Element x y z (fractional)
1 V 0.5950 0.5950 0.8099  1 V 2.21, 1 Co 2.35
2 Mo 0.0000 0.0000 0.0000  6 Co 2.22-2.35
3 Co 0.0000 0.5000 0.0000  2 Mo 2.22, 4 V 2.48
4 Co 0.5000 0.0000 0.0000  2 Mo 2.22, 4 V 2.48
5 Co 0.2027 0.2027 0.5945  1 V 2.35, 1 Mo 2.35
6 V 0.4050 0.4050 0.1901  1 V 2.21, 1 Co 2.35
7 Co 0.7973 0.7973 0.4055  1 V 2.35, 1 Mo 2.35

No. 9
DFT (PBE) results for V3CoMo after structural relaxation.

## Properties
The value obtained for the total magnetization is 1.705 μB per cell. The energy comes out at -91.18 eV for the cell shown. The calculation puts the density of states at the Fermi level at 5.72 states/eV/f.u. As for the volume: 13.304 Å³/atom.

abc: 6.5149 4.2205 4.9490
angles: 90.00 77.87 90.00
Closest atoms and distances in Å follow each position.
Element x y z (fractional)
1 Mo 0.4752 0.4264 0.6995  7 V 2.57-2.59, 1 Co 2.59
2 Mo 0.9752 0.9264 0.1995  7 V 2.57-2.59, 1 Co 2.59
3 V 0.0763 0.4264 0.9015  3 Mo 2.58, 3 Co 2.59, 2 V 2.59-2.60
4 V 0.2761 0.4264 0.3023  1 Mo 2.57, 3 Co 2.58, 4 V 2.59
5 V 0.7761 0.9264 0.8023  1 Mo 2.57, 3 Co 2.58, 4 V 2.59
6 V 0.8752 0.4264 0.5007  3 Mo 2.58-2.59, 4 V 2.59-2.60, 1 Co 2.59
7 Co 0.6753 0.4264 0.0999  7 V 2.58-2.59, 1 Mo 2.59
8 V 0.3752 0.9264 0.0007  3 Mo 2.58-2.59, 4 V 2.59-2.60, 1 Co 2.59
9 V 0.5763 0.9264 0.4015  3 Mo 2.58, 3 Co 2.59, 2 V 2.59-2.60
10 Co 0.1753 0.9264 0.5999  7 V 2.58-2.59, 1 Mo 2.59

No. 10
DFT (PBE) results for V4CoMo2 after structural relaxation.

## Properties
The value obtained for the total magnetization is 0.000 μB per cell. The energy comes out at -59.09 eV for the cell shown. The calculation puts the density of states at the Fermi level at 9.63 states/eV/f.u. As for the volume: 16.061 Å³/atom.

abc: 4.2593 4.2593 6.8904
angles: 72.00 72.00 90.00
Closest atoms and distances in Å follow each position.
Element x y z (fractional)
1 V 0.0000 0.5000 0.0000  2 Co 2.13
2 Co 0.0000 0.0000 0.0000  6 V 2.13-2.31
3 Mo 0.3751 0.3751 0.2499  1 V 2.34
4 V 0.1865 0.1865 0.6270  1 Co 2.31, 1 Mo 2.34
5 V 0.5000 0.0000 0.0000  2 Co 2.13
6 V 0.8135 0.8135 0.3730  1 Co 2.31, 1 Mo 2.34
7 Mo 0.6249 0.6249 0.7501  1 V 2.34